TcI2 after structural relaxation. Source: OQMD via LeMat-Bulk, functional PBE-GGA.

a b c (Å): 6.305 6.305 4.225
angles (deg): 90.00 90.00 90.00
Positions (direct):
Tc 0.000 0.000 0.000
Tc 0.500 0.500 0.500
I 0.195 0.195 0.500
I 0.305 0.695 0.000
I 0.695 0.305 0.000
I 0.805 0.805 0.500

Output
energy relative to the lowest polymorph listed for this composition	0	kJ/mol of formula units